Entry from Alexandria via LeMat-Bulk: InAu2Cl after structural relaxation (GGA-PBEsol).

For the uncorrected energy, the calculation gives -13.2 eV/cell. Its spin magnetization is 0.00 μB/f.u. The value obtained for the formation energy (no corrections) is -0.083 eV/atom.

Cell lengths 6.0027, 6.0027, 3.5637 Å; angles 107.21, 107.21, 124.91 degrees
Closest atoms and distances in Å follow each position.
Fractional coordinates of all 4 atoms:
In1 0.0000 0.0000 0.0000  4 Cl 2.78, 4 Au 3.00
Au1 0.0000 0.5000 0.0000  4 Au 2.78, 2 Cl 3.00, 2 In 3.00
Au2 0.5000 0.0000 0.0000  4 Au 2.78, 2 In 3.00, 2 Cl 3.00
Cl1 0.5000 0.5000 0.0000  4 In 2.78, 4 Au 3.00